No. 1
Compound: PrHfBe2Si2
Source: OQMD
Functional: GGA-PBE
Structure: optimized geometry

Its space group is No. 164.

a = 3.812 Å, b = 3.812 Å, c = 7.936 Å
α = 90.00°, β = 90.00°, γ = 120.00°
Positions (direct):
Pr 0.000 0.000 0.000
Hf 0.000 0.000 0.500
Be 0.333 0.667 0.715
Be 0.667 0.333 0.285
Si 0.333 0.667 0.276
Si 0.667 0.333 0.724



No. 2
Compound: SmYSe2Br2
Source: OQMD
Functional: GGA-PBE
Structure: optimized geometry

Its space group is No. 25.

a = 4.165 Å, b = 5.689 Å, c = 8.584 Å
α = 90.00°, β = 90.00°, γ = 90.00°
Positions (direct):
Sm 0.000 0.000 0.000
Y 0.500 0.500 0.721
Se 0.000 0.500 0.953
Se 0.500 0.000 0.760
Br 0.000 0.500 0.498
Br 0.500 0.000 0.232



No. 3
Compound: ReO4
Source: OQMD
Functional: GGA-PBE
Structure: optimized geometry

Its space group is No. 8.

a = 4.979 Å, b = 4.979 Å, c = 4.780 Å
α = 115.06°, β = 115.06°, γ = 33.67°
Positions (direct):
Re 0.000 0.000 0.000
O 0.114 0.114 0.408
O 0.368 0.368 0.010
O 0.617 0.617 0.934
O 0.876 0.876 0.550



No. 4
Compound: Dy3Al5S12
Source: OQMD
Functional: GGA-PBE
Structure: optimized geometry

Its space group is No. 230.

a = 12.900 Å, b = 12.900 Å, c = 12.900 Å
α = 109.47°, β = 109.47°, γ = 109.47°
Positions (direct):
Dy 0.125 0.250 0.375
Dy 0.125 0.375 0.750
Dy 0.250 0.375 0.125
Dy 0.250 0.875 0.625
Dy 0.375 0.125 0.250
Dy 0.375 0.750 0.125
Dy 0.625 0.250 0.875
Dy 0.625 0.875 0.750
Dy 0.750 0.125 0.375
Dy 0.750 0.625 0.875
Dy 0.875 0.625 0.250
Dy 0.875 0.750 0.625
Al 0.000 0.000 0.000
Al 0.000 0.000 0.500
Al 0.000 0.500 0.000
Al 0.000 0.500 0.500
Al 0.125 0.750 0.875
Al 0.125 0.875 0.250
Al 0.250 0.125 0.875
Al 0.250 0.625 0.375
Al 0.375 0.250 0.625
Al 0.375 0.625 0.750
Al 0.500 0.000 0.000
Al 0.500 0.000 0.500
Al 0.500 0.500 0.000
Al 0.500 0.500 0.500
Al 0.625 0.375 0.250
Al 0.625 0.750 0.375
Al 0.750 0.375 0.625
Al 0.750 0.875 0.125
Al 0.875 0.125 0.750
Al 0.875 0.250 0.125
S 0.030 0.207 0.121
S 0.030 0.323 0.908
S 0.086 0.707 0.677
S 0.086 0.879 0.408
S 0.092 0.621 0.414
S 0.092 0.970 0.677
S 0.121 0.030 0.207
S 0.121 0.592 0.914
S 0.177 0.207 0.586
S 0.177 0.470 0.592
S 0.207 0.121 0.030
S 0.207 0.586 0.177
S 0.293 0.323 0.914
S 0.293 0.470 0.379
S 0.323 0.908 0.030
S 0.323 0.914 0.293
S 0.379 0.293 0.470
S 0.379 0.586 0.908
S 0.408 0.086 0.879
S 0.408 0.823 0.530
S 0.414 0.092 0.621
S 0.414 0.823 0.793
S 0.470 0.379 0.293
S 0.470 0.592 0.177
S 0.530 0.408 0.823
S 0.530 0.621 0.707
S 0.586 0.177 0.207
S 0.586 0.908 0.379
S 0.592 0.177 0.470
S 0.592 0.914 0.121
S 0.621 0.414 0.092
S 0.621 0.707 0.530
S 0.677 0.086 0.707
S 0.677 0.092 0.970
S 0.707 0.530 0.621
S 0.707 0.677 0.086
S 0.793 0.414 0.823
S 0.793 0.879 0.970
S 0.823 0.530 0.408
S 0.823 0.793 0.414
S 0.879 0.408 0.086
S 0.879 0.970 0.793
S 0.908 0.030 0.323
S 0.908 0.379 0.586
S 0.914 0.121 0.592
S 0.914 0.293 0.323
S 0.970 0.677 0.092
S 0.970 0.793 0.879



No. 5
Compound: Ho2CuGe2Au
Source: OQMD
Functional: GGA-PBE
Structure: optimized geometry

Its space group is No. 156.

a = 4.380 Å, b = 4.380 Å, c = 7.201 Å
α = 90.00°, β = 90.00°, γ = 120.00°
Positions (direct):
Ho 0.000 0.000 0.000
Ho 0.000 0.000 0.493
Cu 0.333 0.667 0.206
Ge 0.333 0.667 0.793
Ge 0.667 0.333 0.272
Au 0.667 0.333 0.704



No. 6
Compound: NaTbCdSe3
Source: OQMD
Functional: GGA-PBE
Structure: optimized geometry

The value obtained for the polymorph energy (0 for the lowest one) is 5.7 kJ per mole of atoms. Its space group is No. 62.

a = 8.085 Å, b = 4.250 Å, c = 17.424 Å
α = 90.00°, β = 90.00°, γ = 90.00°
Positions (direct):
Na 0.065 0.250 0.196
Na 0.435 0.750 0.696
Na 0.565 0.250 0.304
Na 0.935 0.750 0.804
Tb 0.229 0.250 0.962
Tb 0.271 0.750 0.462
Tb 0.729 0.250 0.538
Tb 0.771 0.750 0.038
Cd 0.069 0.250 0.663
Cd 0.431 0.750 0.163
Cd 0.569 0.250 0.837
Cd 0.931 0.750 0.337
Se 0.011 0.250 0.425
Se 0.126 0.750 0.065
Se 0.227 0.250 0.793
Se 0.273 0.750 0.293
Se 0.374 0.250 0.565
Se 0.489 0.750 0.925
Se 0.511 0.250 0.075
Se 0.626 0.750 0.435
Se 0.727 0.250 0.707
Se 0.773 0.750 0.207
Se 0.874 0.250 0.935
Se 0.989 0.750 0.575



No. 7
Compound: NdHfSi2
Source: OQMD
Functional: GGA-PBE
Structure: optimized geometry

The value obtained for the polymorph energy (0 for the lowest one) is 6.8 kJ per mole of atoms. Its space group is No. 11.

a = 5.643 Å, b = 3.842 Å, c = 7.538 Å
α = 90.00°, β = 92.19°, γ = 90.00°
Positions (direct):
Nd 0.125 0.250 0.181
Nd 0.875 0.750 0.819
Hf 0.387 0.250 0.674
Hf 0.613 0.750 0.326
Si 0.147 0.750 0.471
Si 0.374 0.750 0.952
Si 0.626 0.250 0.048
Si 0.853 0.250 0.529



No. 8
Compound: KTmSnSe3
Source: OQMD
Functional: GGA-PBE
Structure: optimized geometry

The value obtained for the polymorph energy (0 for the lowest one) is 0.0 kJ per mole of atoms. Its space group is No. 62.

a = 15.477 Å, b = 4.147 Å, c = 12.044 Å
α = 90.00°, β = 90.00°, γ = 90.00°
Positions (direct):
K 0.232 0.250 0.095
K 0.268 0.750 0.595
K 0.732 0.250 0.405
K 0.768 0.750 0.905
Tm 0.006 0.750 0.643
Tm 0.494 0.250 0.143
Tm 0.506 0.750 0.857
Tm 0.994 0.250 0.357
Sn 0.042 0.250 0.909
Sn 0.458 0.750 0.409
Sn 0.542 0.250 0.591
Sn 0.958 0.750 0.091
Se 0.087 0.750 0.237
Se 0.103 0.250 0.542
Se 0.136 0.750 0.818
Se 0.364 0.250 0.318
Se 0.397 0.750 0.042
Se 0.413 0.250 0.737
Se 0.587 0.750 0.263
Se 0.603 0.250 0.958
Se 0.636 0.750 0.682
Se 0.864 0.250 0.182
Se 0.897 0.750 0.458
Se 0.913 0.250 0.763



No. 9
Compound: BaHgNO
Source: OQMD
Functional: GGA-PBE
Structure: optimized geometry

The value obtained for the polymorph energy (0 for the lowest one) is 2.7 kJ per mole of atoms. Its space group is No. 129.

a = 4.555 Å, b = 4.555 Å, c = 8.933 Å
α = 90.00°, β = 90.00°, γ = 90.00°
Positions (direct):
Ba 0.250 0.250 0.131
Ba 0.750 0.750 0.869
Hg 0.250 0.750 0.500
Hg 0.750 0.250 0.500
N 0.250 0.250 0.473
N 0.750 0.750 0.527
O 0.250 0.750 0.000
O 0.750 0.250 0.000



No. 10
Compound: SmZnIr
Source: OQMD
Functional: GGA-PBE
Structure: optimized geometry

For the formation energy, the calculation gives -39.26 kJ/mol of atoms. Its space group is No. 216.

a = 4.594 Å, b = 4.594 Å, c = 4.594 Å
α = 60.00°, β = 60.00°, γ = 60.00°
Positions (direct):
Sm 0.000 0.000 0.000
Zn 0.500 0.500 0.500
Ir 0.250 0.250 0.250



No. 11
Compound: DyZn2Pd3
Source: OQMD
Functional: GGA-PBE
Structure: optimized geometry

For the formation energy, the calculation gives -68.90 kJ/mol of atoms. Its space group is No. 194.

a = 4.405 Å, b = 4.405 Å, c = 12.303 Å
α = 90.00°, β = 90.00°, γ = 120.00°
Positions (direct):
Dy 0.000 0.000 0.250
Dy 0.000 0.000 0.750
Zn 0.333 0.667 0.081
Zn 0.333 0.667 0.419
Zn 0.667 0.333 0.581
Zn 0.667 0.333 0.919
Pd 0.000 0.000 0.000
Pd 0.000 0.000 0.500
Pd 0.333 0.667 0.630
Pd 0.333 0.667 0.870
Pd 0.667 0.333 0.130
Pd 0.667 0.333 0.370



No. 12
Compound: Ba2LiHg
Source: OQMD
Functional: GGA-PBE
Structure: optimized geometry

Its space group is No. 216.

a = 5.736 Å, b = 5.736 Å, c = 5.736 Å
α = 60.00°, β = 60.00°, γ = 60.00°
Positions (direct):
Ba 0.000 0.000 0.000
Ba 0.250 0.250 0.250
Li 0.500 0.500 0.500
Hg 0.750 0.750 0.750



| no. | energy (eV per atom) |
| --- | --- |
| 1 | -6.12 |
| 2 | -5.47 |
| 3 | -7.09 |
| 4 | -5.55 |
| 5 | -4.97 |
| 6 | -4.08 |
| 7 | -7.04 |
| 8 | -4.62 |
| 9 | -4.25 |
| 10 | -5.35 |
| 11 | -4.49 |
| 12 | -1.65 |